(1)
This record from Alexandria describes a relaxed MoS2BrO8 crystal. The functional is GGA+U.

## Properties
SG: No. 12
spin magnetization: 3.11 μB per formula unit
uncorrected energy: -5.8575 eV/atom

Cell lengths 5.022, 5.022, 9.931 Å; angles 71.49, 71.49, 63.80 degrees
Last column: magnetic moment on the atom in μB.
Positions (direct):
S1 0.430 0.430 0.825  0.01
S2 0.570 0.570 0.175  0.01
O1 0.754 0.302 0.847  -0.01
O2 0.262 0.262 0.949  0.02
O3 0.577 0.577 0.316  0.02
O4 0.738 0.738 0.051  0.02
O5 0.302 0.754 0.847  -0.01
O6 0.246 0.698 0.153  -0.01
O7 0.423 0.423 0.684  0.02
O8 0.698 0.246 0.153  -0.01
Mo1 0.000 0.000 0.000  1.97
Br1 0.000 0.000 0.500  0.70


(2)
This record from Alexandria describes a relaxed MoSBr2O6 crystal. The functional is GGA+U.

## Properties
SG: No. 2
spin magnetization: 0.00 μB per formula unit
uncorrected energy: -4.9551 eV/atom

Cell lengths 4.793, 5.030, 6.619 Å; angles 84.09, 89.10, 88.22 degrees
Positions (direct):
S1 0.500 0.500 0.000
O1 0.100 0.993 0.735
O2 0.766 0.673 0.967
O3 0.323 0.747 0.079
O4 0.677 0.253 0.921
O5 0.900 0.007 0.265
O6 0.234 0.327 0.033
Br1 0.359 0.666 0.579
Br2 0.641 0.334 0.421
Mo1 0.000 0.000 0.000


(3)
This record from Alexandria describes a relaxed ScMoBrO4 crystal. The functional is GGA+U.

## Properties
SG: No. 12
spin magnetization: 0.00 μB per formula unit
uncorrected energy: -7.1038 eV/atom

Cell lengths 6.029, 6.029, 9.560 Å; angles 66.46, 66.46, 71.64 degrees
Positions (direct):
O1 0.868 0.455 0.762
O2 0.754 0.754 0.465
O3 0.576 0.576 0.284
O4 0.246 0.246 0.535
O5 0.545 0.132 0.238
O6 0.132 0.545 0.238
O7 0.424 0.424 0.716
O8 0.455 0.868 0.762
Sc1 0.188 0.188 0.778
Sc2 0.812 0.812 0.222
Br1 0.870 0.870 0.917
Br2 0.130 0.130 0.083
Mo1 0.624 0.624 0.678
Mo2 0.376 0.376 0.322


(4)
This record from Alexandria describes a relaxed SmMoBrO4 crystal. The functional is GGA+U.

## Properties
SG: No. 12
spin magnetization: 0.00 μB per formula unit
uncorrected energy: -6.9494 eV/atom

Cell lengths 6.513, 6.513, 7.060 Å; angles 76.54, 76.54, 69.73 degrees
Positions (direct):
O1 0.492 0.118 0.149
O2 0.463 0.463 0.794
O3 0.537 0.537 0.206
O4 0.118 0.492 0.149
O5 0.703 0.703 0.473
O6 0.508 0.882 0.851
O7 0.882 0.508 0.851
O8 0.297 0.297 0.527
Mo1 0.636 0.636 0.733
Mo2 0.364 0.364 0.267
Br1 0.012 0.012 0.245
Br2 0.988 0.988 0.755
Sm1 0.230 0.230 0.881
Sm2 0.770 0.770 0.119